# 1
The following is a GGA-PBE calculation of LiPm2Ga3Ir4 after structural relaxation, from the Alexandria database.

Computed properties:
Energy of formation = -6.3 eV per formula unit

The structure in CIF format:
```
data_LiPm2Ga3Ir4
_chemical_formula_sum 'Li1 Pm2 Ga3 Ir4'
_cell_length_a 4.168
_cell_length_b 4.168
_cell_length_c 10.611
_cell_angle_alpha 90.00
_cell_angle_beta 90.00
_cell_angle_gamma 90.00
_symmetry_space_group_name_H-M 'P 1'
_symmetry_Int_Tables_number 1
_symmetry_space_group_name_Hall 'P 1'
loop_
_atom_site_label
_atom_site_type_symbol
_atom_site_fract_x
_atom_site_fract_y
_atom_site_fract_z
Li1 Li 0.000 0.000 0.000
Pm1 Pm 0.000 0.500 0.748
Pm2 Pm 0.500 0.000 0.252
Ga1 Ga 0.000 0.500 0.372
Ga2 Ga 0.500 0.000 0.628
Ga3 Ga 0.500 0.500 0.000
Ir1 Ir 0.000 0.000 0.500
Ir2 Ir 0.000 0.500 0.139
Ir3 Ir 0.500 0.000 0.861
Ir4 Ir 0.500 0.500 0.500
```

# 2
The following is a GGA-PBE calculation of BaSbAu2 after structural relaxation, from the Alexandria database.

Computed properties:
Formation energy without anion corrections = -1.047 eV/f.u.

The structure in CIF format:
```
data_BaSbAu2
_chemical_formula_sum 'Ba1 Sb1 Au2'
_cell_length_a 5.340
_cell_length_b 5.340
_cell_length_c 5.340
_cell_angle_alpha 60.00
_cell_angle_beta 60.00
_cell_angle_gamma 60.00
_symmetry_space_group_name_H-M 'P 1'
_symmetry_Int_Tables_number 1
_symmetry_space_group_name_Hall 'P 1'
loop_
_atom_site_label
_atom_site_type_symbol
_atom_site_fract_x
_atom_site_fract_y
_atom_site_fract_z
Ba1 Ba 0.000 0.000 0.000
Sb1 Sb 0.250 0.250 0.250
Au1 Au 0.500 0.500 0.500
Au2 Au 0.750 0.750 0.750
```

# 3
The following is a GGA-PBE calculation of Tb3Dy3Tm2 after structural relaxation, from the Alexandria database.

Computed properties:
Relative energy among the computed polymorphs = 72.8 meV per atom
Energy of formation = 0.7 eV per formula unit

The structure in CIF format:
```
data_Tb3Dy3Tm2
_chemical_formula_sum 'Tb3 Dy3 Tm2'
_cell_length_a 8.521
_cell_length_b 8.521
_cell_length_c 5.943
_cell_angle_alpha 110.20
_cell_angle_beta 110.20
_cell_angle_gamma 38.76
_symmetry_space_group_name_H-M 'P 1'
_symmetry_Int_Tables_number 1
_symmetry_space_group_name_Hall 'P 1'
loop_
_atom_site_label
_atom_site_type_symbol
_atom_site_fract_x
_atom_site_fract_y
_atom_site_fract_z
Tb1 Tb 0.000 0.000 0.000
Tb2 Tb 0.133 0.133 0.692
Tb3 Tb 0.867 0.867 0.308
Dy1 Dy 0.367 0.367 0.924
Dy2 Dy 0.500 0.500 0.500
Dy3 Dy 0.633 0.633 0.076
Tm1 Tm 0.250 0.250 0.317
Tm2 Tm 0.750 0.750 0.683
```

# 4
The following is a GGA-PBE calculation of CaSm2GaN after structural relaxation, from the Alexandria database.

Computed properties:
Formation energy without anion corrections = -4.092 eV/f.u.

The structure in CIF format:
```
data_CaSm2GaN
_chemical_formula_sum 'Ca1 Sm2 Ga1 N1'
_cell_length_a 4.922
_cell_length_b 4.922
_cell_length_c 4.788
_cell_angle_alpha 90.00
_cell_angle_beta 90.00
_cell_angle_gamma 90.00
_symmetry_space_group_name_H-M 'P 1'
_symmetry_Int_Tables_number 1
_symmetry_space_group_name_Hall 'P 1'
loop_
_atom_site_label
_atom_site_type_symbol
_atom_site_fract_x
_atom_site_fract_y
_atom_site_fract_z
Ca1 Ca 0.000 0.000 0.000
Sm1 Sm 0.000 0.500 0.500
Sm2 Sm 0.500 0.000 0.500
Ga1 Ga 0.500 0.500 0.000
N1 N 0.000 0.000 0.500
```

# 5
The following is a GGA-PBE calculation of Pm2HfGe4Pd3 after structural relaxation, from the Alexandria database.

Computed properties:
Energy of formation = -7.8 eV per formula unit

The structure in CIF format:
```
data_Pm2HfGe4Pd3
_chemical_formula_sum 'Pm2 Hf1 Ge4 Pd3'
_cell_length_a 4.255
_cell_length_b 4.255
_cell_length_c 11.066
_cell_angle_alpha 90.00
_cell_angle_beta 90.00
_cell_angle_gamma 90.00
_symmetry_space_group_name_H-M 'P 1'
_symmetry_Int_Tables_number 1
_symmetry_space_group_name_Hall 'P 1'
loop_
_atom_site_label
_atom_site_type_symbol
_atom_site_fract_x
_atom_site_fract_y
_atom_site_fract_z
Pm1 Pm 0.000 0.500 0.235
Pm2 Pm 0.500 0.000 0.765
Hf1 Hf 0.000 0.000 0.500
Ge1 Ge 0.000 0.000 0.000
Ge2 Ge 0.000 0.500 0.650
Ge3 Ge 0.500 0.000 0.350
Ge4 Ge 0.500 0.500 0.000
Pd1 Pd 0.000 0.500 0.875
Pd2 Pd 0.500 0.000 0.125
Pd3 Pd 0.500 0.500 0.500
```

# 6
The following is a GGA-PBE calculation of BaSeS6 after structural relaxation, from the Alexandria database.

Computed properties:
Formation energy without anion corrections = -1.466 eV/f.u.

The structure in CIF format:
```
data_BaSeS6
_chemical_formula_sum 'Ba1 Se1 S6'
_cell_length_a 8.987
_cell_length_b 8.987
_cell_length_c 3.860
_cell_angle_alpha 102.35
_cell_angle_beta 102.35
_cell_angle_gamma 119.11
_symmetry_space_group_name_H-M 'P 1'
_symmetry_Int_Tables_number 1
_symmetry_space_group_name_Hall 'P 1'
loop_
_atom_site_label
_atom_site_type_symbol
_atom_site_fract_x
_atom_site_fract_y
_atom_site_fract_z
Ba1 Ba 0.000 0.000 0.000
Se1 Se 0.500 0.500 0.500
S1 S 0.129 0.729 0.725
S2 S 0.271 0.871 0.275
S3 S 0.303 0.303 0.805
S4 S 0.697 0.697 0.195
S5 S 0.729 0.129 0.725
S6 S 0.871 0.271 0.275
```

Number 1: density 11.482 g/cm3. Number 2: density 10.074 g/cm3. Number 3: density 8.601 g/cm3. Number 4: density 6.076 g/cm3. Number 5: density 8.939 g/cm3. Number 6: density 2.748 g/cm3.